No. 1
# CsSbRu3

CsSbRu3 after structural relaxation (PBE, Alexandria via LeMat-Bulk).

Computed properties:
uncorrected formation energy = 13.26 eV/f.u.

a b c (Å): 4.9499 4.9499 4.9499
angles (deg): 90.00 90.00 90.00
With the nearest neighbours (Å) after each atom.
Space group Pm-3m (No. 221)
One atom of each set of equivalent atoms:
Cs1 0.0000 0.0000 0.0000 [1 per cell]  6 Ru 2.47
Sb1 0.5000 0.5000 0.5000 [1 per cell]  12 Ru 3.50
Ru1 0.0000 0.0000 0.5000 [3 per cell]  2 Cs 2.47



No. 2
# CsSb2Ru

CsSb2Ru after structural relaxation (PBE, Alexandria via LeMat-Bulk).

Computed properties:
uncorrected formation energy = -0.19 eV/f.u.

a b c (Å): 3.3673 3.3673 9.4041
angles (deg): 90.00 90.00 90.00
With the nearest neighbours (Å) after each atom.
Space group P4/mmm (No. 123)
One atom of each set of equivalent atoms:
Cs1 0.0000 0.0000 0.0000 [1 per cell]  4 Cs 3.37
Sb1 0.5000 0.5000 0.3293 [2 per cell]  4 Ru 2.87, 1 Sb 3.21
Ru1 0.0000 0.0000 0.5000 [1 per cell]  8 Sb 2.87



No. 3
# CsSb12Ru4

CsSb12Ru4 after structural relaxation (PBE, Alexandria via LeMat-Bulk).

Computed properties:
uncorrected formation energy = -3.54 eV/f.u.

a b c (Å): 9.4584 9.4584 9.4584
angles (deg): 90.00 90.00 90.00
With the nearest neighbours (Å) after each atom.
Space group Im-3 (No. 204)
One atom of each set of equivalent atoms:
Cs1 0.0000 0.0000 0.0000 [2 per cell]  12 Sb 3.60
Sb1 0.0000 0.3448 0.1608 [24 per cell]  2 Ru 2.67, 1 Sb 2.94
Ru1 0.2500 0.2500 0.2500 [8 per cell]  6 Sb 2.67



No. 4
# CsSb2TeRu

CsSb2TeRu after structural relaxation (PBE, Alexandria via LeMat-Bulk).

Computed properties:
uncorrected formation energy = 0.42 eV/f.u.

a b c (Å): 5.1416 5.1416 6.1438
angles (deg): 90.00 90.00 90.00
With the nearest neighbours (Å) after each atom.
Space group P4/mmm (No. 123)
One atom of each set of equivalent atoms:
Cs1 0.0000 0.0000 0.0000 [1 per cell]  4 Te 3.64, 8 Sb 4.01
Sb1 0.0000 0.5000 0.5000 [2 per cell]  2 Ru 2.57
Te1 0.5000 0.5000 0.0000 [1 per cell]  2 Ru 3.07
Ru1 0.5000 0.5000 0.5000 [1 per cell]  4 Sb 2.57



No. 5
# CsSb2TeRu

CsSb2TeRu after structural relaxation (PBE, Alexandria via LeMat-Bulk).

Computed properties:
uncorrected formation energy = 11.11 eV/f.u.

a b c (Å): 6.1355 6.1355 6.1957
angles (deg): 90.00 90.00 90.00
With the nearest neighbours (Å) after each atom.
Space group P4/mmm (No. 123)
One atom of each set of equivalent atoms:
Cs1 0.0000 0.0000 0.0000 [1 per cell]  4 Sb 3.07, 2 Te 3.10
Sb1 0.0000 0.5000 0.0000 [2 per cell]  2 Cs 3.07
Te1 0.0000 0.0000 0.5000 [1 per cell]  2 Cs 3.10
Ru1 0.5000 0.5000 0.5000 [1 per cell]  4 Te 4.34, 8 Sb 4.36



No. 6
# CsTl2SbRu

CsTl2SbRu after structural relaxation (PBE, Alexandria via LeMat-Bulk).

Computed properties:
uncorrected formation energy = 6.09 eV/f.u.

a b c (Å): 5.9395 5.9395 7.3505
angles (deg): 90.00 90.00 90.00
With the nearest neighbours (Å) after each atom.
Space group P4/mmm (No. 123)
One atom of each set of equivalent atoms:
Cs1 0.0000 0.0000 0.0000 [1 per cell]  2 Sb 3.68
Tl1 0.0000 0.5000 0.5000 [2 per cell]  2 Sb 2.97
Sb1 0.0000 0.0000 0.5000 [1 per cell]  4 Tl 2.97
Ru1 0.5000 0.5000 0.0000 [1 per cell]  4 Cs 4.20



No. 7
# Cs2ScRu4

Cs2ScRu4 after structural relaxation (PBE, Alexandria via LeMat-Bulk).

Computed properties:
energy of formation = 1691 meV/atom

a b c (Å): 4.8826 4.8826 18.3387
angles (deg): 90.00 90.00 90.00
With the nearest neighbours (Å) after each atom.
Space group I4/mmm (No. 139)
One atom of each set of equivalent atoms:
Cs1 0.0000 0.0000 0.1631 [4 per cell]  9 Ru 3.52-3.88
Sc1 0.0000 0.0000 0.5000 [2 per cell]  6 Ru 2.29-2.44
Ru1 0.0000 0.0000 0.3749 [4 per cell]  1 Sc 2.29
Ru2 0.0000 0.5000 0.0000 [4 per cell]  2 Sc 2.44



No. 8
# Cs2ScSiRu

Cs2ScSiRu after structural relaxation (PBE, Alexandria via LeMat-Bulk).

Computed properties:
uncorrected formation energy = 5.27 eV/f.u.

a b c (Å): 5.9440 5.9440 4.9967
angles (deg): 90.00 90.00 90.00
With the nearest neighbours (Å) after each atom.
Space group P4/mmm (No. 123)
One atom of each set of equivalent atoms:
Cs1 0.0000 0.5000 0.0000 [2 per cell]  2 Ru 2.97
Sc1 0.0000 0.0000 0.5000 [1 per cell]  2 Ru 2.50
Si1 0.5000 0.5000 0.5000 [1 per cell]  8 Cs 3.88, 4 Sc 4.20
Ru1 0.0000 0.0000 0.0000 [1 per cell]  2 Sc 2.50